No. 1
# PrUP

An optimized crystal structure of PrUP (PBE, Alexandria).

Cell: 6.6506 3.8125 3.8125 Å, 120.00 90.00 90.00°
Site moments in Bohr magnetons follow the coordinates.
Fractional coordinates of all 3 atoms:
P 0.3221 0.3333 0.6667  -0.04
U 0.0760 0.0000 0.0000  2.70
Pr 0.6019 0.6667 0.3333  0.18

Calculated total energy = -22.66 eV for the cell shown
V = 27.91 Å³ per atom
DOS(E_F) = 7.55 states/eV/cell
ΔH_f (0 K) = -393.6 meV/atom

---

No. 2
# PrU2P4

An optimized crystal structure of PrU2P4 (PBE, Alexandria).

Cell: 4.0236 6.8463 12.5709 Å, 90.00 90.00 107.09°
Site moments in Bohr magnetons follow the coordinates.
Fractional coordinates of all 14 atoms:
P 0.5000 0.0000 0.5000  -0.07
Pr 0.3888 0.7777 0.2500  0.00
U 0.8685 0.7370 0.9391  1.43
P 0.7600 0.5200 0.1220  -0.06
P 0.5000 0.0000 0.0000  -0.07
U 0.8685 0.7370 0.5609  1.43
P 0.2400 0.4800 0.8780  -0.06
Pr 0.6112 0.2223 0.7500  0.00
U 0.1315 0.2630 0.4391  1.43
P 0.7600 0.5200 0.3780  -0.06
P 0.2400 0.4800 0.6220  -0.06
P 0.9523 0.9045 0.7500  -0.07
U 0.1315 0.2630 0.0609  1.43
P 0.0477 0.0955 0.2500  -0.07

Calculated total energy = -109.75 eV for the cell shown
V = 23.64 Å³ per atom
DOS(E_F) = 21.25 states/eV/cell
ΔH_f (0 K) = -839.8 meV/atom

---

No. 3
# PrUP

An optimized crystal structure of PrUP (PBE, Alexandria).

Cell: 4.6001 7.2086 7.2086 Å, 120.00 90.00 90.00°
Site moments in Bohr magnetons follow the coordinates.
Fractional coordinates of all 9 atoms:
Pr 0.0000 0.5645 0.5645  0.01
P 0.5000 0.3333 0.6667  -0.01
U 0.5000 0.0000 0.7955  0.46
Pr 0.0000 0.4355 0.0000  0.01
Pr 0.0000 0.0000 0.4355  0.01
P 0.5000 0.6667 0.3333  -0.01
P 0.0000 0.0000 0.0000  -0.01
U 0.5000 0.2045 0.2045  0.46
U 0.5000 0.7955 0.0000  0.46

Calculated total energy = -70.34 eV for the cell shown
V = 23.00 Å³ per atom
DOS(E_F) = 15.78 states/eV/cell
ΔH_f (0 K) = -656.8 meV/atom

---

No. 4
# PrU4P5

An optimized crystal structure of PrU4P5 (PBE, Alexandria).

Cell: 3.9650 6.9522 8.8986 Å, 74.97 77.13 73.43°
Site moments in Bohr magnetons follow the coordinates.
Fractional coordinates of all 10 atoms:
U 0.5977 0.2039 0.6006  2.02
P 0.3925 0.3206 0.8944  -0.06
P 0.6075 0.6794 0.1056  -0.06
P 0.0000 0.5000 0.5000  -0.08
U 0.4023 0.7961 0.3994  2.02
Pr 0.0000 0.0000 0.0000  0.01
P 0.7971 0.0967 0.3090  -0.07
U 0.2026 0.3912 0.2035  1.98
P 0.2029 0.9033 0.6910  -0.07
U 0.7974 0.6088 0.7965  1.98

Calculated total energy = -87.53 eV for the cell shown
V = 22.41 Å³ per atom
DOS(E_F) = 22.55 states/eV/cell
ΔH_f (0 K) = -1054.4 meV/atom

---

No. 5
# Pr3UP4

An optimized crystal structure of Pr3UP4 (PBE, Alexandria).

Cell: 4.1152 7.1565 7.1565 Å, 109.17 90.00 90.00°
Site moments in Bohr magnetons follow the coordinates.
Fractional coordinates of all 8 atoms:
U 0.5000 0.0000 0.0000  1.92
P 0.5000 0.7603 0.2397  -0.03
P 0.0000 0.7652 0.7652  -0.05
Pr 0.0000 0.5000 0.0000  0.02
P 0.0000 0.2348 0.2348  -0.05
Pr 0.0000 0.0000 0.5000  0.02
Pr 0.5000 0.5000 0.5000  0.04
P 0.5000 0.2397 0.7603  -0.03

Calculated total energy = -58.21 eV for the cell shown
V = 24.88 Å³ per atom
DOS(E_F) = 7.79 states/eV/cell
ΔH_f (0 K) = -1367.9 meV/atom

---

No. 6
# Pr4UP5

An optimized crystal structure of Pr4UP5 (PBE, Alexandria).

Cell: 5.8604 7.1728 7.1728 Å, 80.39 65.89 65.89°
Site moments in Bohr magnetons follow the coordinates.
Fractional coordinates of all 10 atoms:
Pr 0.4039 0.3974 0.7967  0.02
P 0.5012 0.0000 0.0000  -0.05
P 0.0952 0.6208 0.1907  -0.03
P 0.9068 0.3792 0.8093  -0.03
Pr 0.2006 0.2033 0.3974  0.02
P 0.7160 0.1907 0.3792  -0.03
Pr 0.8014 0.7967 0.6026  0.02
Pr 0.5981 0.6026 0.2033  0.02
U 0.0011 0.0000 0.0000  1.84
P 0.2860 0.8093 0.6208  -0.03

Calculated total energy = -71.47 eV for the cell shown
V = 25.12 Å³ per atom
DOS(E_F) = 8.10 states/eV/cell
ΔH_f (0 K) = -1401.8 meV/atom

---

No. 7
# PrY2UP4

An optimized crystal structure of PrY2UP4 (PBE, Alexandria).

Cell: 4.0275 7.0071 6.9797 Å, 109.24 90.00 90.00°
Site moments in Bohr magnetons follow the coordinates.
Fractional coordinates of all 8 atoms:
Pr 0.0000 0.0000 0.0000  0.03
P 0.0000 0.7402 0.2481  -0.04
U 0.5000 0.5000 0.0000  1.97
Y 0.5000 0.0000 0.5000  0.03
Y 0.0000 0.5000 0.5000  0.01
P 0.0000 0.2598 0.7519  -0.04
P 0.5000 0.2632 0.2525  -0.03
P 0.5000 0.7368 0.7475  -0.03

Calculated total energy = -61.98 eV for the cell shown
V = 23.25 Å³ per atom
DOS(E_F) = 7.44 states/eV/cell
ΔH_f (0 K) = -1418.6 meV/atom

---

No. 8
# Pr2YUP4

An optimized crystal structure of Pr2YUP4 (PBE, Alexandria).

Cell: 4.0675 7.0514 7.0905 Å, 109.17 90.00 90.00°
Site moments in Bohr magnetons follow the coordinates.
Fractional coordinates of all 8 atoms:
Pr 0.0000 0.5000 0.5000  0.02
Y 0.0000 0.0000 0.0000  0.01
P 0.0000 0.7392 0.2312  -0.04
P 0.5000 0.2516 0.2328  -0.03
P 0.5000 0.7484 0.7672  -0.03
Pr 0.5000 0.0000 0.5000  0.04
U 0.5000 0.5000 0.0000  1.85
P 0.0000 0.2608 0.7688  -0.04

Calculated total energy = -60.18 eV for the cell shown
V = 24.01 Å³ per atom
DOS(E_F) = 7.24 states/eV/cell
ΔH_f (0 K) = -1403.5 meV/atom

---

No. 9
# PrVP

An optimized crystal structure of PrVP (PBE, Alexandria).

Cell: 3.8646 3.8646 11.2699 Å, 110.07 110.07 59.98°
Site moments in Bohr magnetons follow the coordinates.
Fractional coordinates of all 6 atoms:
P 0.9385 0.9385 0.6573  0.00
Pr 0.7260 0.7260 0.8384  0.06
V 0.2168 0.2168 0.5749  0.01
V 0.7832 0.7832 0.4251  0.01
Pr 0.2740 0.2740 0.1616  0.06
P 0.0615 0.0615 0.3427  0.00

Calculated total energy = -42.89 eV for the cell shown
V = 22.30 Å³ per atom
DOS(E_F) = 6.71 states/eV/cell
ΔH_f (0 K) = -712.1 meV/atom

---

No. 10
# PrVP2

An optimized crystal structure of PrVP2 (PBE, Alexandria).

Cell: 4.3229 4.3229 7.9285 Å, 74.18 74.18 60.00°
Site moments in Bohr magnetons follow the coordinates.
Fractional coordinates of all 4 atoms:
Pr 0.5000 0.5000 0.5000  -0.03
P 0.1000 0.1000 0.7000  -0.12
V 0.0000 0.0000 0.0000  2.10
P 0.9000 0.9000 0.3000  -0.12

Calculated total energy = -24.49 eV for the cell shown
Energy above the lowest structure with this stoichiometry = 766 meV per atom
V = 30.45 Å³ per atom
DOS(E_F) = 4.39 states/eV/cell
ΔH_f (0 K) = 57.3 meV/atom

---

No. 11
# PrVP2

An optimized crystal structure of PrVP2 (PBE, Alexandria).

Cell: 3.7459 3.7460 6.5324 Å, 106.67 106.67 90.00°
Site moments in Bohr magnetons follow the coordinates.
Fractional coordinates of all 4 atoms:
Pr 0.2213 0.8812 0.2281  0.19
P 0.8554 0.5153 0.4965  -0.07
P 0.5872 0.2470 0.9599  -0.07
V 0.4713 0.6311 0.7282  1.28

Calculated total energy = -27.55 eV for the cell shown
Energy above the lowest structure with this stoichiometry = 0 meV per atom
V = 20.95 Å³ per atom
DOS(E_F) = 2.16 states/eV/cell
ΔH_f (0 K) = -708.6 meV/atom

---

No. 12
# PrPW

An optimized crystal structure of PrPW (PBE, Alexandria).

Cell: 3.9798 8.0668 8.0668 Å, 90.00 90.00 90.00°
Fractional coordinates of all 12 atoms:
Pr 0.5000 0.2838 0.0688
P 0.0000 0.4325 0.8243
Pr 0.5000 0.7162 0.9312
W 0.5000 0.6018 0.3587
Pr 0.0000 0.9312 0.2838
P 0.5000 0.1757 0.4325
W 0.0000 0.3587 0.3982
W 0.0000 0.6413 0.6018
Pr 0.0000 0.0688 0.7162
P 0.5000 0.8243 0.5675
W 0.5000 0.3982 0.6413
P 0.0000 0.5675 0.1757

Calculated total energy = -98.67 eV for the cell shown
V = 21.58 Å³ per atom
DOS(E_F) = 11.49 states/eV/cell
ΔH_f (0 K) = -508.3 meV/atom

---

No. 13
# Pr2YP3

An optimized crystal structure of Pr2YP3 (PBE, Alexandria).

Cell: 4.1482 4.1482 9.2615 Å, 102.94 102.94 89.98°
Fractional coordinates of all 6 atoms:
Y 0.4341 0.4358 0.8740
Pr 0.7686 0.7699 0.5426
P 0.5978 0.5991 0.2009
P 0.9341 0.9359 0.8740
Pr 0.1000 0.1013 0.2054
P 0.2708 0.2721 0.5470

Calculated total energy = -41.46 eV for the cell shown
V = 25.19 Å³ per atom
DOS(E_F) = 0.77 states/eV/cell
ΔH_f (0 K) = -1534.9 meV/atom

---

No. 14
# PrY2P3

An optimized crystal structure of PrY2P3 (PBE, Alexandria).

Cell: 4.0804 5.7774 7.0633 Å, 114.14 106.79 90.00°
Fractional coordinates of all 6 atoms:
Y 0.3340 0.8340 0.6680
P 0.6726 0.6726 0.3451
P 0.3274 0.3274 0.6549
Pr 0.0000 0.5000 0.0000
Y 0.6660 0.1660 0.3320
P 0.0000 0.0000 0.0000

Calculated total energy = -43.39 eV for the cell shown
V = 24.02 Å³ per atom
DOS(E_F) = 0.75 states/eV/cell
ΔH_f (0 K) = -1576.3 meV/atom

---

No. 15
# Pr3YP4

An optimized crystal structure of Pr3YP4 (PBE, Alexandria).

Cell: 5.8824 5.8824 5.8824 Å, 90.00 90.00 90.00°
Fractional coordinates of all 8 atoms:
Y 0.0000 0.0000 0.0000
P 0.0000 0.0000 0.5000
P 0.5000 0.5000 0.5000
Pr 0.0000 0.5000 0.5000
P 0.0000 0.5000 0.0000
Pr 0.5000 0.5000 0.0000
Pr 0.5000 0.0000 0.5000
P 0.5000 0.0000 0.0000

Calculated total energy = -54.66 eV for the cell shown
Energy above the lowest structure with this stoichiometry = 6 meV per atom
V = 25.44 Å³ per atom
DOS(E_F) = 0.96 states/eV/cell
ΔH_f (0 K) = -1527.6 meV/atom

---

No. 16
# PrY3P

An optimized crystal structure of PrY3P (PBE, Alexandria).

Cell: 5.4207 5.4207 5.4207 Å, 90.00 90.00 90.00°
Site moments in Bohr magnetons follow the coordinates.
Fractional coordinates of all 5 atoms:
Y 0.0000 0.0000 0.5000  0.14
Y 0.5000 0.0000 0.0000  0.14
P 0.0000 0.0000 0.0000  0.00
Pr 0.5000 0.5000 0.5000  0.17
Y 0.0000 0.5000 0.0000  0.14

Calculated total energy = -31.84 eV for the cell shown
V = 31.86 Å³ per atom
DOS(E_F) = 8.76 states/eV/cell
ΔH_f (0 K) = -450.8 meV/atom

---

No. 17
# PrY3P4

An optimized crystal structure of PrY3P4 (PBE, Alexandria).

Cell: 4.0647 7.0371 7.0371 Å, 70.53 90.00 90.00°
Fractional coordinates of all 8 atoms:
P 0.4999 0.7538 0.2537
Y 0.5000 0.0001 0.5000
P 0.0000 0.7576 0.7425
P 0.5000 0.2464 0.7463
Pr 0.5000 0.5001 0.0000
Y 0.0000 0.0001 0.0000
P 0.0000 0.2426 0.2575
Y 0.0000 0.5001 0.5000

Calculated total energy = -58.53 eV for the cell shown
V = 23.72 Å³ per atom
DOS(E_F) = 0.80 states/eV/cell
ΔH_f (0 K) = -1589.4 meV/atom

---

No. 18
# PrY5P6

An optimized crystal structure of PrY5P6 (PBE, Alexandria).

Cell: 7.0112 7.0139 7.0114 Å, 59.99 80.39 70.49°
Fractional coordinates of all 12 atoms:
P 0.2539 0.9153 0.6607
Y 0.5000 0.8344 0.3311
Y 0.0000 0.6670 0.6660
Y 0.5000 0.5000 0.0000
Y 0.0000 0.3330 0.3340
P 0.2539 0.5760 0.3393
Y 0.5000 0.1656 0.6689
P 0.7461 0.4240 0.6607
Pr 0.0000 0.0000 0.0000
P 0.7468 0.7450 0.0000
P 0.2532 0.2550 0.0000
P 0.7461 0.0847 0.3393

Calculated total energy = -88.78 eV for the cell shown
V = 23.45 Å³ per atom
DOS(E_F) = 1.01 states/eV/cell
ΔH_f (0 K) = -1602.0 meV/atom

---

No. 19
# Pr4YP5

An optimized crystal structure of Pr4YP5 (PBE, Alexandria).

Cell: 5.8999 7.2200 7.2200 Å, 80.39 65.88 65.88°
Fractional coordinates of all 10 atoms:
P 0.2955 0.8037 0.6073
Pr 0.2015 0.2008 0.3983
Pr 0.4022 0.3983 0.7992
P 0.5012 0.0000 0.0000
Pr 0.5998 0.6017 0.2008
P 0.7065 0.1963 0.3927
Y 0.0011 0.0000 0.0000
P 0.9028 0.3927 0.8037
Pr 0.8005 0.7992 0.6017
P 0.0992 0.6073 0.1963

Calculated total energy = -67.92 eV for the cell shown
V = 25.62 Å³ per atom
DOS(E_F) = 0.40 states/eV/cell
ΔH_f (0 K) = -1529.0 meV/atom

---

No. 20
# Pr5Y3P8

An optimized crystal structure of Pr5Y3P8 (PBE, Alexandria).

Cell: 8.2701 8.2701 8.2674 Å, 59.99 59.99 60.00°
Fractional coordinates of all 16 atoms:
P 0.2500 0.2500 0.7426
Pr 0.0000 0.5000 0.0000
P 0.7536 0.7536 0.7391
P 0.7500 0.2426 0.2574
Y 0.0000 0.0000 0.5000
P 0.2426 0.7500 0.2574
P 0.2464 0.2464 0.2609
Pr 0.5000 0.5000 0.0000
Y 0.0000 0.5000 0.5000
P 0.2500 0.7574 0.7426
P 0.7574 0.2500 0.7426
Y 0.5000 0.0000 0.5000
Pr 0.0000 0.0000 0.0000
Pr 0.5000 0.5000 0.5000
P 0.7500 0.7500 0.2574
Pr 0.5000 0.0000 0.0000

Calculated total energy = -111.31 eV for the cell shown
V = 24.99 Å³ per atom
DOS(E_F) = 2.37 states/eV/cell
ΔH_f (0 K) = -1546.4 meV/atom